Material: K2TlSbBr6
Method: DFT, SCAN
State: single point on PBEsol structure

Calculated values
uncorrected energy = -25.440 eV/atom
space-group type = Fm-3m, No. 225

a b c (Å): 8.1864 8.1864 8.1864
angles (deg): 60.00 60.00 60.00
Sites, in units of the cell vectors:
K  0.2500  0.2500  0.2500
K  0.7500  0.7500  0.7500
Br  0.2392  0.7608  0.2392
Br  0.2392  0.7608  0.7608
Br  0.2392  0.2392  0.7608
Br  0.7608  0.2392  0.2392
Br  0.7608  0.2392  0.7608
Br  0.7608  0.7608  0.2392
Sb  0.0000  0.0000  0.0000
Tl  0.5000  0.5000  0.5000